(1)
A relaxed structure of BaMnPb2I8, computed with GGA-PBE.

The structure belongs to space group P2/m (No. 10); the cell edges are 7.280, 9.659 and 7.703 Å and the angles 90.00°, 91.24° and 90.00°. The asymmetric unit holds Ba at (0.000, 0.000, 0.000), Mn at (0.000, 0.500, 0.000), Pb at (0.500, 0.269, 0.500), I at (0.233, 0.289, 0.150), I at (0.237, 0.500, 0.676) and I at (0.270, 0.000, 0.640).

The magnetic moment comes out at 0.417 μB per atom. As for the energy relative to the elements, uncorrected: -947 kJ/mol of formula units. The crystal system is monoclinic.



(2)
A relaxed structure of BaMn2PdI, computed with GGA-PBE.

The structure belongs to space group P4/mmm (No. 123); the cell edges are 6.370, 6.370 and 5.440 Å and the angles 90.00°, 90.00° and 90.00°. The asymmetric unit holds Ba at (0.000, 0.000, 0.000), Mn at (0.000, 0.500, 0.000), Pd at (0.000, 0.000, 0.500) and I at (0.500, 0.500, 0.500).

The magnetic moment comes out at 1.914 μB per atom. As for the energy relative to the elements, uncorrected: 670 kJ/mol of formula units. The crystal system is tetragonal.



(3)
A relaxed structure of Rb2BaMnI6, computed with GGA-PBE.

The structure belongs to space group R-3 (No. 148, hexagonal axes); the cell edges are 8.8614, 8.8614 and 20.9149 Å and the angles 90.00°, 90.00° and 120.00°. The asymmetric unit holds Rb at (0.0000, 0.0000, 0.2240), Ba at (0.0000, 0.0000, 0.5000), Mn at (0.0000, 0.0000, 0.0000) and I at (0.0357, 0.4302, 0.7464).

The magnetic moment comes out at 0.500 μB per atom. As for the energy relative to the elements, uncorrected: -1182 kJ/mol of formula units. The crystal system is trigonal.



(4)
A relaxed structure of RbBaMn2I8, computed with GGA-PBE.

The structure belongs to space group P-3 (No. 147); the cell edges are 7.6621, 7.6621 and 11.4507 Å and the angles 90.00°, 90.00° and 120.00°. The asymmetric unit holds Rb at (0.0000, 0.0000, 0.0000), Ba at (0.0000, 0.0000, 0.5000), Mn at (0.3333, 0.6667, 0.7667), I at (0.0045, 0.6586, 0.3014) and I at (0.3333, 0.6667, 0.9943).

The magnetic moment comes out at 0.750 μB per atom. As for the energy relative to the elements, uncorrected: -1002 kJ/mol of formula units. The crystal system is trigonal.



(5)
A relaxed structure of RbBaMnI5, computed with GGA-PBE.

The structure belongs to space group C2/c (No. 15); the cell edges are 10.855, 14.289 and 12.075 Å and the angles 90.00°, 113.44° and 90.00°. The asymmetric unit holds Rb at (0.000, 0.143, 0.250), Ba at (0.000, 0.500, 0.000), Mn at (0.000, 0.183, 0.750), I at (0.000, 0.395, 0.250), I at (0.133, 0.289, 0.647) and I at (0.164, 0.070, 0.930).

The magnetic moment comes out at 0.625 μB per atom. As for the energy relative to the elements, uncorrected: -920 kJ/mol of formula units. The crystal system is monoclinic.



(6)
A relaxed structure of BaMnSbI2, computed with GGA-PBE.

The structure belongs to space group P4/mmm (No. 123); the cell edges are 5.673, 5.673 and 4.978 Å and the angles 90.00°, 90.00° and 90.00°. The asymmetric unit holds Ba at (0.000, 0.000, 0.000), Mn at (0.500, 0.500, 0.500), Sb at (0.500, 0.500, 0.000) and I at (0.000, 0.500, 0.500).

The magnetic moment comes out at 0.002 μB per atom. As for the energy relative to the elements, uncorrected: -139 kJ/mol of formula units. The crystal system is tetragonal.



(7)
A relaxed structure of BaMnSbI2, computed with GGA-PBE.

The structure belongs to space group P4/mmm (No. 123); the cell edges are 6.731, 6.731 and 6.927 Å and the angles 90.00°, 90.00° and 90.00°. The asymmetric unit holds Ba at (0.000, 0.000, 0.000), Mn at (0.500, 0.500, 0.500), Sb at (0.000, 0.000, 0.500) and I at (0.000, 0.500, 0.000).

The magnetic moment comes out at 1.602 μB per atom. As for the energy relative to the elements, uncorrected: 115 kJ/mol of formula units. The crystal system is tetragonal.



(8)
A relaxed structure of BaScMn2I, computed with GGA-PBE.

The structure belongs to space group P4/mmm (No. 123); the cell edges are 5.702, 5.702 and 6.286 Å and the angles 90.00°, 90.00° and 90.00°. The asymmetric unit holds Ba at (0.000, 0.000, 0.000), Sc at (0.500, 0.500, 0.500), Mn at (0.000, 0.500, 0.000) and I at (0.000, 0.000, 0.500).

The magnetic moment comes out at 1.363 μB per atom. As for the energy relative to the elements, uncorrected: 653 kJ/mol of formula units. The crystal system is tetragonal.



(9)
A relaxed structure of BaMnSn2I8, computed with GGA-PBE.

The structure belongs to space group P2/m (No. 10); the cell edges are 7.239, 9.582 and 7.658 Å and the angles 90.00°, 91.50° and 90.00°. The asymmetric unit holds Ba at (0.000, 0.000, 0.000), Mn at (0.000, 0.500, 0.000), Sn at (0.500, 0.269, 0.500), I at (0.234, 0.289, 0.155), I at (0.244, 0.500, 0.674) and I at (0.274, 0.000, 0.640).

The magnetic moment comes out at 0.416 μB per atom. As for the energy relative to the elements, uncorrected: -863 kJ/mol of formula units. The crystal system is monoclinic.



(10)
A relaxed structure of Ba2MnTcI, computed with GGA-PBE.

The structure belongs to space group P4/mmm (No. 123); the cell edges are 6.448, 6.448 and 4.375 Å and the angles 90.00°, 90.00° and 90.00°. The asymmetric unit holds Ba at (0.000, 0.500, 0.000), Mn at (0.000, 0.000, 0.000), Tc at (0.000, 0.000, 0.500) and I at (0.500, 0.500, 0.500).

The magnetic moment comes out at 0.322 μB per atom. As for the energy relative to the elements, uncorrected: 90 kJ/mol of formula units. The crystal system is tetragonal.



(11)
A relaxed structure of BaMnTeI2, computed with GGA-PBE.

The structure belongs to space group P4/mmm (No. 123); the cell edges are 6.692, 6.692 and 6.783 Å and the angles 90.00°, 90.00° and 90.00°. The asymmetric unit holds Ba at (0.000, 0.000, 0.000), Mn at (0.500, 0.500, 0.500), Te at (0.000, 0.000, 0.500) and I at (0.000, 0.500, 0.000).

The magnetic moment comes out at 1.405 μB per atom. As for the energy relative to the elements, uncorrected: -11 kJ/mol of formula units. The crystal system is tetragonal.



(12)
A relaxed structure of BaMnTeI2, computed with GGA-PBE.

The structure belongs to space group P4/mmm (No. 123); the cell edges are 5.679, 5.679 and 5.654 Å and the angles 90.00°, 90.00° and 90.00°. The asymmetric unit holds Ba at (0.000, 0.000, 0.000), Mn at (0.500, 0.500, 0.500), Te at (0.500, 0.500, 0.000) and I at (0.000, 0.500, 0.500).

The magnetic moment comes out at 0.984 μB per atom. As for the energy relative to the elements, uncorrected: -404 kJ/mol of formula units. The crystal system is tetragonal.



(13)
A relaxed structure of BaMnTl2I6, computed with GGA-PBE.

The structure belongs to space group R3 (No. 146, hexagonal axes); the cell edges are 8.5191, 8.5191 and 21.7814 Å and the angles 90.00°, 90.00° and 120.00°. The asymmetric unit holds Ba at (0.0000, 0.0000, 0.0000), Mn at (0.0000, 0.0000, 0.4972), Tl at (0.0000, 0.0000, 0.2931), Tl at (0.0000, 0.0000, 0.7982), I at (0.0251, 0.4074, 0.2365) and I at (0.0767, 0.7006, 0.0815).

The magnetic moment comes out at 0.498 μB per atom. As for the energy relative to the elements, uncorrected: -851 kJ/mol of formula units. The crystal system is trigonal.



(14)
A relaxed structure of BaMn2TlI8, computed with GGA-PBE.

The structure belongs to space group P-3 (No. 147); the cell edges are 7.6114, 7.6114 and 11.2338 Å and the angles 90.00°, 90.00° and 120.00°. The asymmetric unit holds Ba at (0.0000, 0.0000, 0.0000), Mn at (0.3333, 0.6667, 0.7830), Tl at (0.0000, 0.0000, 0.5000), I at (0.0129, 0.3137, 0.7290) and I at (0.3333, 0.6667, 0.0157).

The magnetic moment comes out at 0.750 μB per atom. As for the energy relative to the elements, uncorrected: -803 kJ/mol of formula units. The crystal system is trigonal.



(15)
A relaxed structure of BaMoI2, computed with GGA-PBE.

The structure belongs to space group I-42d (No. 122); the cell edges are 6.073, 6.073 and 18.206 Å and the angles 90.00°, 90.00° and 90.00°. The asymmetric unit holds Ba at (0.000, 0.000, 0.000), Mo at (0.000, 0.000, 0.500) and I at (0.175, 0.250, 0.625).

The magnetic moment comes out at 1.003 μB per atom. As for the energy relative to the elements, uncorrected: 43 kJ/mol of formula units. The crystal system is tetragonal.



(16)
A relaxed structure of Ba3MoI, computed with GGA-PBE.

The structure belongs to space group Pm-3m (No. 221); the cell edges are 6.023, 6.023 and 6.023 Å and the angles 90.00°, 90.00° and 90.00°. The asymmetric unit holds Ba at (0.000, 0.000, 0.500), Mo at (0.000, 0.000, 0.000) and I at (0.500, 0.500, 0.500).

The magnetic moment comes out at 0.000 μB per atom. As for the energy relative to the elements, uncorrected: 106 kJ/mol of formula units. The crystal system is cubic.



(17)
A relaxed structure of BaMoI3, computed with GGA-PBE.

The structure belongs to space group Pm-3m (No. 221); the cell edges are 5.718, 5.718 and 5.718 Å and the angles 90.00°, 90.00° and 90.00°. The asymmetric unit holds Ba at (0.000, 0.000, 0.000), Mo at (0.500, 0.500, 0.500) and I at (0.000, 0.500, 0.500).

The magnetic moment comes out at 0.672 μB per atom. As for the energy relative to the elements, uncorrected: -167 kJ/mol of formula units. The crystal system is cubic.



(18)
A relaxed structure of BaMoI2, computed with GGA-PBE.

The structure belongs to space group Fm-3m (No. 225); the cell edges are 8.440, 8.440 and 8.440 Å and the angles 90.00°, 90.00° and 90.00°. The asymmetric unit holds Ba at (0.000, 0.000, 0.000), Mo at (0.000, 0.000, 0.500) and I at (0.250, 0.250, 0.250).

The magnetic moment comes out at 1.499 μB per atom. As for the energy relative to the elements, uncorrected: 22 kJ/mol of formula units. The crystal system is cubic.



(19)
A relaxed structure of BaMo2I, computed with GGA-PBE.

The structure belongs to space group Fm-3m (No. 225); the cell edges are 7.007, 7.007 and 7.007 Å and the angles 90.00°, 90.00° and 90.00°. The asymmetric unit holds Ba at (0.000, 0.000, 0.000), Mo at (0.250, 0.250, 0.250) and I at (0.000, 0.000, 0.500).

The magnetic moment comes out at 0.000 μB per atom. As for the energy relative to the elements, uncorrected: 579 kJ/mol of formula units. The crystal system is cubic.



(20)
A relaxed structure of BaMoI3, computed with GGA-PBE.

The structure belongs to space group Pm-3m (No. 221); the cell edges are 6.688, 6.688 and 6.688 Å and the angles 90.00°, 90.00° and 90.00°. The asymmetric unit holds Ba at (0.000, 0.000, 0.000), Mo at (0.500, 0.500, 0.500) and I at (0.000, 0.000, 0.500).

The magnetic moment comes out at 1.000 μB per atom. As for the energy relative to the elements, uncorrected: 40 kJ/mol of formula units. The crystal system is cubic.